Entry 1:
This record from the Alexandria database describes a geometry-optimized Al2Cr2Cd structure. The functional is PBE.

Geometry as CIF:
```
data_Al2Cr2Cd
_space_group_name_H-M_alt 'P 4/m b m'
_space_group_IT_number 127
_space_group_name_Hall '-P 4 2ab'
_cell_length_a 7.320
_cell_length_b 7.320
_cell_length_c 2.979
_cell_angle_alpha 90.00
_cell_angle_beta 90.00
_cell_angle_gamma 90.00
loop_
_atom_site_label
_atom_site_type_symbol
_atom_site_fract_x
_atom_site_fract_y
_atom_site_fract_z
Al1 Al 0.126 0.374 0.000
Cr1 Cr 0.169 0.669 0.500
Cd1 Cd 0.000 0.000 0.000
```

As for the crystal system: tetragonal. As for the density of states at the Fermi level: 0.588 states/eV/atom. The value obtained for the energy of formation is 0.149 eV per atom. The total energy is -5.3802 eV/atom. The magnetic moment is 5.3 μB/f.u.



Entry 2:
This record from the Alexandria database describes a geometry-optimized AlCrCd2 structure. The functional is PBE.

Geometry as CIF:
```
data_AlCrCd2
_space_group_name_H-M_alt 'I m m m'
_space_group_IT_number 71
_space_group_name_Hall '-I 2 2'
_cell_length_a 2.976
_cell_length_b 4.300
_cell_length_c 12.655
_cell_angle_alpha 90.00
_cell_angle_beta 90.00
_cell_angle_gamma 90.00
loop_
_atom_site_label
_atom_site_type_symbol
_atom_site_fract_x
_atom_site_fract_y
_atom_site_fract_z
Al1 Al 0.000 0.000 0.000
Cr1 Cr 0.000 0.000 0.500
Cd1 Cd 0.000 0.500 0.188
```

As for the crystal system: orthorhombic. As for the density of states at the Fermi level: 0.628 states/eV/atom. The value obtained for the energy of formation is 0.232 eV per atom. The total energy is -3.5673 eV/atom. The magnetic moment is 2.8 μB/f.u.



Entry 3:
This record from the Alexandria database describes a geometry-optimized Al3CrCd structure. The functional is PBE.

Geometry as CIF:
```
data_Al3CrCd
_space_group_name_H-M_alt 'P m -3 m'
_space_group_IT_number 221
_space_group_name_Hall '-P 4 2 3'
_cell_length_a 4.696
_cell_length_b 4.696
_cell_length_c 4.696
_cell_angle_alpha 90.00
_cell_angle_beta 90.00
_cell_angle_gamma 90.00
loop_
_atom_site_label
_atom_site_type_symbol
_atom_site_fract_x
_atom_site_fract_y
_atom_site_fract_z
Al1 Al 0.000 0.000 0.500
Cr1 Cr 0.000 0.000 0.000
Cd1 Cd 0.500 0.500 0.500
```

As for the crystal system: cubic. As for the density of states at the Fermi level: 0.934 states/eV/atom. The value obtained for the energy of formation is 0.528 eV per atom. The total energy is -3.8255 eV/atom. The magnetic moment is 1.2 μB/f.u.



Entry 4:
This record from the Alexandria database describes a geometry-optimized AlCrCd2 structure. The functional is PBE.

Geometry as CIF:
```
data_AlCrCd2
_space_group_name_H-M_alt 'P 4/m m m'
_space_group_IT_number 123
_space_group_name_Hall '-P 4 2'
_cell_length_a 3.035
_cell_length_b 3.035
_cell_length_c 8.383
_cell_angle_alpha 90.00
_cell_angle_beta 90.00
_cell_angle_gamma 90.00
loop_
_atom_site_label
_atom_site_type_symbol
_atom_site_fract_x
_atom_site_fract_y
_atom_site_fract_z
Al1 Al 0.000 0.000 0.000
Cr1 Cr 0.000 0.000 0.500
Cd1 Cd 0.500 0.500 0.260
```

As for the crystal system: tetragonal. As for the density of states at the Fermi level: 0.391 states/eV/atom. The value obtained for the energy of formation is 0.323 eV per atom. The total energy is -3.4758 eV/atom. The magnetic moment is 3.9 μB/f.u.